[1]
VASP calculation (PBE) on a relaxed CoPbBr2 crystal.

Lattice parameters (Å, degrees): 5.1023 5.1023 3.7473 90.00 90.00 90.00
With the nearest neighbours (Å) after each atom.
Positions (direct):
1 Co 0.0000 0.0000 0.0000  8 Br 3.17
2 Pb 0.5000 0.5000 0.0000  8 Br 3.17
3 Br 0.0000 0.5000 0.5000  4 Pb 3.17, 4 Co 3.17
4 Br 0.5000 0.0000 0.5000  4 Pb 3.17, 4 Co 3.17

Computed properties:
relative energy among the computed polymorphs: 551 meV/atom
E_tot: -0.2331 Ry per atom


[2]
VASP calculation (PBE) on a relaxed Rb2ZrSbCl6 crystal.

Lattice parameters (Å, degrees): 8.3081 8.3081 8.3081 125.83 125.83 80.16
With the nearest neighbours (Å) after each atom.
Positions (direct):
1 Rb 0.2500 0.7500 0.5000  12 Cl 3.84-4.16
2 Rb 0.7500 0.2500 0.5000  12 Cl 3.84-4.16
3 Zr 0.0000 0.0000 0.0000  6 Cl 2.52
4 Sb 0.5000 0.5000 0.0000  4 Cl 2.83
5 Cl 0.1985 0.1985 0.0000  1 Zr 2.52
6 Cl 0.2358 0.2358 0.4715  1 Zr 2.52
7 Cl 0.2358 0.7642 0.0000  1 Zr 2.52
8 Cl 0.7642 0.2358 0.0000  1 Zr 2.52
9 Cl 0.7642 0.7642 0.5285  1 Zr 2.52
10 Cl 0.8015 0.8015 0.0000  1 Zr 2.52

Computed properties:
E_tot: -0.2887 Ry per atom


[3]
VASP calculation (PBE) on a relaxed Ti4MnN5 crystal.

Lattice parameters (Å, degrees): 5.2058 5.2058 5.2058 99.47 99.47 132.13
With the nearest neighbours (Å) after each atom.
Positions (direct):
1 Ti 0.1060 0.2994 0.4053  6 N 2.09-2.16
2 Ti 0.2994 0.8940 0.1934  6 N 2.09-2.16
3 Ti 0.7006 0.1060 0.8066  6 N 2.09-2.16
4 Ti 0.8940 0.7006 0.5947  6 N 2.09-2.16
5 Mn 0.5000 0.5000 0.0000  6 N 2.11-2.14
6 N 0.0000 0.0000 0.0000  2 Mn 2.11, 4 Ti 2.14
7 N 0.1983 0.5999 0.7983  5 Ti 2.09-2.16, 1 Mn 2.14
8 N 0.4001 0.1983 0.5984  5 Ti 2.09-2.16, 1 Mn 2.14
9 N 0.5999 0.8017 0.4016  5 Ti 2.09-2.16, 1 Mn 2.14
10 N 0.8017 0.4001 0.2017  5 Ti 2.09-2.16, 1 Mn 2.14

Computed properties:
E_tot: -0.7084 Ry per atom


[4]
VASP calculation (PBE) on a relaxed Nd5Sm2Sb4 crystal.

Lattice parameters (Å, degrees): 11.6669 11.6669 8.0823 96.69 96.69 20.51
With the nearest neighbours (Å) after each atom.
Positions (direct):
1 Nd 0.0000 0.0000 0.0000  4 Sb 3.30
2 Nd 0.3206 0.3206 0.9153  3 Sb 3.18-3.22
3 Nd 0.4405 0.4405 0.6217  4 Sb 3.17-3.27
4 Nd 0.5595 0.5595 0.3783  4 Sb 3.17-3.27
5 Nd 0.6794 0.6794 0.0847  3 Sb 3.18-3.22
6 Sm 0.2988 0.2988 0.3456  4 Sb 3.13-3.23
7 Sm 0.7012 0.7012 0.6544  4 Sb 3.13-3.23
8 Sb 0.1634 0.1634 0.3731  3 Sm 3.13-3.14, 4 Nd 3.17-3.18
9 Sb 0.4262 0.4262 0.2147  5 Nd 3.19-3.30, 1 Sm 3.23
10 Sb 0.5738 0.5738 0.7853  5 Nd 3.19-3.30, 1 Sm 3.23
11 Sb 0.8366 0.8366 0.6269  3 Sm 3.13-3.14, 4 Nd 3.17-3.18

Computed properties:
E_tot: -0.3751 Ry per atom


[5]
VASP calculation (PBE) on a relaxed Cu2Pb crystal.

Lattice parameters (Å, degrees): 6.5519 6.5519 5.7191 115.81 115.81 29.39
With the nearest neighbours (Å) after each atom.
Positions (direct):
1 Cu 0.9996 0.9996 0.2481  4 Cu 2.53
2 Cu 0.0004 0.0004 0.7519  4 Cu 2.53
3 Cu 0.3880 0.3880 0.8868  5 Cu 2.53
4 Cu 0.6120 0.6120 0.1132  5 Cu 2.53
5 Pb 0.3245 0.3245 0.3241  8 Cu 2.92-2.97
6 Pb 0.6755 0.6755 0.6759  8 Cu 2.92-2.97

Computed properties:
formation enthalpy at 0 K: 175 meV/atom
E_tot: -0.2787 Ry per atom


[6]
VASP calculation (PBE) on a relaxed Li2ReNi crystal.

Lattice parameters (Å, degrees): 2.6370 2.6370 8.0711 90.00 90.00 90.00
With the nearest neighbours (Å) after each atom.
Positions (direct):
1 Li 0.0000 0.0000 0.0000  4 Li 2.64, 4 Re 2.82
2 Li 0.5000 0.5000 0.3021  4 Ni 2.57, 4 Li 2.64
3 Re 0.5000 0.5000 0.7381  4 Ni 2.56, 4 Re 2.64, 4 Li 2.82
4 Ni 0.0000 0.0000 0.5215  4 Re 2.56, 4 Li 2.57, 4 Ni 2.64

Computed properties:
relative energy among the computed polymorphs: 0 meV/atom
formation enthalpy at 0 K: 109 meV/atom
E_tot: -0.3973 Ry per atom


- Which value of E_tot does entry 6 give?
  -0.3973 Ry per atom